DFT (GGA+U) results for a relaxed CoOsN2O crystal.

## Properties
N(E_F) (states/eV/atom): 0.823
Total magnetization (μB/atom): 0.03
Crystal system: tetragonal
E (eV/atom): -6.116

a b c (Å): 3.6334 3.6334 3.5953
angles (deg): 90.00 90.00 90.00
With the nearest neighbours (Å) after each atom.
Space group P4/mmm (No. 123)
Inequivalent atoms, fractional coordinates:
Co1 0.0000 0.0000 0.0000  2 O 1.80, 4 N 1.82
Os1 0.5000 0.5000 0.5000  8 N 2.56, 4 O 2.57
N1 0.0000 0.5000 0.0000  2 Co 1.82
O1 0.0000 0.0000 0.5000  2 Co 1.80